(1)
## Ba2MgMo (PBE-GGA)

Data for Ba2MgMo after structural relaxation.

For the formation enthalpy at 0 K, the calculation gives 3.6 eV per formula unit. The volume comes out at 408.8 Å³ per cell. The value obtained for the total magnetization is 2.1 μB per formula unit. The calculation puts the energy at -3.16 eV/atom.

The space group is R3m (No. 160, hexagonal axes) and the conventional cell measures 3.7401, 3.7401 and 33.7480 Å, with angles of 90.00, 90.00 and 120.00 degrees. The distinct sites, in fractional coordinates, are Ba at (0.0000, 0.0000, 0.0000), Ba at (0.0000, 0.0000, 0.2164), Mg at (0.0000, 0.0000, 0.7556) and Mo at (0.0000, 0.0000, 0.4778).

***

(2)
## BaMgMo2 (PBE-GGA)

Data for BaMgMo2 after structural relaxation.

For the formation enthalpy at 0 K, the calculation gives 3.1 eV per formula unit. The volume comes out at 109.0 Å³ per cell. The value obtained for the total magnetization is 0.0 μB per formula unit. The calculation puts the energy at -5.52 eV/atom.

The space group is P2/m (No. 10) and the conventional cell measures 3.256, 5.103 and 6.653 Å, with angles of 90.00, 99.69 and 90.00 degrees. The distinct sites, in fractional coordinates, are Ba at (0.000, 0.000, 0.000), Mg at (0.500, 0.000, 0.500) and Mo at (0.291, 0.500, 0.633).

***

(3)
## Ba2MgMo (PBE-GGA)

Data for Ba2MgMo after structural relaxation.

For the formation enthalpy at 0 K, the calculation gives 2.6 eV per formula unit. The volume comes out at 141.5 Å³ per cell. The value obtained for the total magnetization is 2.0 μB per formula unit. The calculation puts the energy at -3.42 eV/atom.

The space group is P4mm (No. 99) and the conventional cell measures 3.849, 3.849 and 9.552 Å, with angles of 90.00, 90.00 and 90.00 degrees. The distinct sites, in fractional coordinates, are Ba at (0.000, 0.000, 0.000), Ba at (0.500, 0.500, 0.401), Mg at (0.000, 0.000, 0.651) and Mo at (0.500, 0.500, 0.757).

***

(4)
## BaMgMo2 (PBE-GGA)

Data for BaMgMo2 after structural relaxation.

For the formation enthalpy at 0 K, the calculation gives 5.8 eV per formula unit. The volume comes out at 85.7 Å³ per cell. The value obtained for the total magnetization is 0.0 μB per formula unit. The calculation puts the energy at -4.85 eV/atom.

The space group is P4/mmm (No. 123) and the conventional cell measures 5.363, 5.363 and 2.979 Å, with angles of 90.00, 90.00 and 90.00 degrees. The distinct sites, in fractional coordinates, are Ba at (0.000, 0.000, 0.000), Mg at (0.500, 0.500, 0.000) and Mo at (0.000, 0.500, 0.500).

***

(5)
## Ba2MgMo (PBE-GGA)

Data for Ba2MgMo after structural relaxation.

For the formation enthalpy at 0 K, the calculation gives 3.1 eV per formula unit. The volume comes out at 143.0 Å³ per cell. The value obtained for the total magnetization is 2.5 μB per formula unit. The calculation puts the energy at -3.29 eV/atom.

The space group is P4/mmm (No. 123) and the conventional cell measures 3.943, 3.943 and 9.195 Å, with angles of 90.00, 90.00 and 90.00 degrees. The distinct sites, in fractional coordinates, are Ba at (0.000, 0.000, 0.224), Mg at (0.500, 0.500, 0.500) and Mo at (0.500, 0.500, 0.000).

***

(6)
## Ba2MgMo (PBE-GGA)

Data for Ba2MgMo after structural relaxation.

For the formation enthalpy at 0 K, the calculation gives 3.3 eV per formula unit. The volume comes out at 267.4 Å³ per cell. The value obtained for the total magnetization is 4.2 μB per formula unit. The calculation puts the energy at -3.25 eV/atom.

The space group is I-4m2 (No. 119) and the conventional cell measures 5.753, 5.753 and 8.079 Å, with angles of 90.00, 90.00 and 90.00 degrees. The distinct sites, in fractional coordinates, are Ba at (0.000, 0.000, 0.000), Ba at (0.000, 0.500, 0.250), Mg at (0.000, 0.000, 0.500) and Mo at (0.000, 0.500, 0.750).